No. 1
{"formula": "SnN", "functional": "PBE-GGA", "state": "optimized geometry", "total_energy_ev_per_cell": -91.89, "e_form_raw_ev_per_atom": 0.421, "magnetic_moment_mub_per_cell": 0.0, "cell": [[-1.5744, 3.6969, 9.5998], [4.4611, -8.5055, 4.0072], [3.1354, 1.5970, -0.1008]], "species": ["Sn", "N", "N", "N", "Sn", "N", "N", "N", "Sn", "Sn", "Sn", "Sn", "N", "Sn", "Sn", "N"], "fractional_positions": [[0.6602, 0.1262, 0.0000], [0.8597, 0.4450, 0.0000], [0.7295, 0.6308, 0.5000], [0.2705, 0.3692, 0.5000], [0.4251, 0.2450, 0.5000], [0.3692, 0.7295, 0.5000], [0.4450, 0.1403, 0.0000], [0.1403, 0.5550, 0.0000], [0.3398, 0.8738, 0.0000], [0.1262, 0.3398, 0.0000], [0.5749, 0.7550, 0.5000], [0.2450, 0.5749, 0.5000], [0.5550, 0.8597, 0.0000], [0.8738, 0.6602, 0.0000], [0.7550, 0.4251, 0.5000], [0.6308, 0.2705, 0.5000]]}

=====

No. 2
{"formula": "PmY8Th2", "functional": "PBE-GGA", "state": "optimized geometry", "relative_energy_kj_per_mol_atoms": 0.0, "formation_enthalpy_0k_mev_per_atom": 182, "total_energy_ev_per_cell": -69.30, "magnetic_moment_mub_per_cell": 0.0, "cell": [[6.4903, 0.2765, -1.5144], [-0.9769, 5.7438, -3.1378], [0.7299, 1.2074, 8.9611]], "species": ["Th", "Y", "Y", "Th", "Y", "Y", "Y", "Y", "Y", "Pm", "Y"], "fractional_positions": [[0.3389, 0.2483, 0.4967], [0.9009, 0.5901, 0.1802], [0.0991, 0.4099, 0.8198], [0.6611, 0.7517, 0.5033], [0.1793, 0.7975, 0.5949], [0.5944, 0.1717, 0.8241], [0.4056, 0.8283, 0.1759], [0.4056, 0.3476, 0.1759], [0.5944, 0.6524, 0.8241], [0.0000, 0.0000, 0.0000], [0.8207, 0.2025, 0.4051]]}

=====

No. 3
{"formula": "TbBeSi2Pd", "functional": "PBE-GGA", "state": "optimized geometry", "total_energy_ev_per_cell": -28.03, "e_form_raw_ev_per_atom": -0.728, "magnetic_moment_mub_per_cell": 0.0, "cell": [[-3.1939, -2.2692, 0.5351], [1.9778, -2.1564, 2.6599], [-0.9859, 5.3322, 2.1166]], "species": ["Be", "Pd", "Si", "Si", "Tb"], "fractional_positions": [[0.7500, 0.2500, 0.5000], [0.2500, 0.7500, 0.5000], [0.3844, 0.3844, 0.7688], [0.6156, 0.6156, 0.2312], [0.0000, 0.0000, 0.0000]]}

=====

No. 4
{"formula": "KCa2Mg", "functional": "PBE-GGA", "state": "optimized geometry", "formation_enthalpy_0k_mev_per_atom": 162, "total_energy_ev_per_cell": -6.05, "magnetic_moment_mub_per_cell": 0.0, "cell": [[-0.1477, -4.4191, 5.9888], [5.8239, -4.3823, 1.5144], [-2.6272, 6.8952, -0.9851]], "species": ["K", "Ca", "Ca", "Mg"], "fractional_positions": [[0.4738, 0.4738, 0.0000], [0.7556, 0.2556, 0.5000], [0.0313, 0.0313, 0.0000], [0.2393, 0.7393, 0.5000]]}

=====

No. 5
{"formula": "BaCo2Ag", "functional": "PBE-GGA", "state": "optimized geometry", "formation_enthalpy_0k_mev_per_atom": 884, "total_energy_ev_per_cell": -15.45, "magnetic_moment_mub_per_cell": 3.7, "cell": [[-2.6063, 2.3554, 3.5291], [0.0789, -1.6745, 4.6888], [2.3675, 2.5935, 3.5304]], "species": ["Co", "Ag", "Co", "Ba"], "fractional_positions": [[0.0000, 0.0000, 0.0000], [0.5000, 0.5000, 0.5000], [0.7500, 0.7500, 0.7500], [0.2500, 0.2500, 0.2500]]}

=====

No. 6
{"formula": "KY2Cd", "functional": "PBE-GGA", "state": "optimized geometry", "formation_enthalpy_0k_mev_per_atom": 275, "total_energy_ev_per_cell": -13.84, "magnetic_moment_mub_per_cell": 0.0, "cell": [[3.8099, 0.0000, 0.0000], [0.0000, 5.8185, 0.0000], [0.0000, 0.0000, 5.8978]], "species": ["Cd", "K", "Y", "Y"], "fractional_positions": [[0.5000, 0.0000, 0.5000], [0.0000, 0.5000, 0.5000], [0.5000, 0.5000, 0.0000], [0.0000, 0.0000, 0.0000]]}

=====

What did the sixth record say?
{"formula": "KY2Cd", "functional": "PBE-GGA", "state": "optimized geometry", "formation_enthalpy_0k_mev_per_atom": 275, "total_energy_ev_per_cell": -13.84, "magnetic_moment_mub_per_cell": 0.0, "cell": [[3.8099, 0.0000, 0.0000], [0.0000, 5.8185, 0.0000], [0.0000, 0.0000, 5.8978]], "species": ["Cd", "K", "Y", "Y"], "fractional_positions": [[0.5000, 0.0000, 0.5000], [0.0000, 0.5000, 0.5000], [0.5000, 0.5000, 0.0000], [0.0000, 0.0000, 0.0000]]}

=====

Repeat the fifth record exactly.
{"formula": "BaCo2Ag", "functional": "PBE-GGA", "state": "optimized geometry", "formation_enthalpy_0k_mev_per_atom": 884, "total_energy_ev_per_cell": -15.45, "magnetic_moment_mub_per_cell": 3.7, "cell": [[-2.6063, 2.3554, 3.5291], [0.0789, -1.6745, 4.6888], [2.3675, 2.5935, 3.5304]], "species": ["Co", "Ag", "Co", "Ba"], "fractional_positions": [[0.0000, 0.0000, 0.0000], [0.5000, 0.5000, 0.5000], [0.7500, 0.7500, 0.7500], [0.2500, 0.2500, 0.2500]]}

=====

What is the formula in the third record?
TbBeSi2Pd